Record 1
Compound: NdMn3Si2
Source: the Alexandria database
Functional: GGA-PBE
Structure: optimized geometry

Results
SG = No. 12

a = 7.6018 Å, b = 7.6018 Å, c = 7.2438 Å
α = 113.77°, β = 113.77°, γ = 29.78°
Closest atoms and distances in Å follow each position.
Fractional coordinates of all 12 atoms:
Nd: 0.1468 0.1468 0.0623  7 Si 3.02-3.08, 5 Mn 3.26-3.35
Nd: 0.8532 0.8532 0.9377  7 Si 3.02-3.08, 5 Mn 3.26-3.35
Mn: 0.0410 0.0410 0.3903  3 Si 2.35-2.38, 5 Mn 2.36-2.62
Mn: 0.3115 0.3115 0.5345  3 Mn 2.32-2.57, 4 Si 2.41-2.50
Mn: 0.4186 0.4186 0.3736  4 Mn 2.32-2.50, 3 Si 2.40-2.47
Mn: 0.5814 0.5814 0.6264  4 Mn 2.32-2.50, 3 Si 2.40-2.47
Mn: 0.6885 0.6885 0.4655  3 Mn 2.32-2.57, 4 Si 2.41-2.50
Mn: 0.9590 0.9590 0.6097  3 Si 2.35-2.38, 5 Mn 2.36-2.62
Si: 0.1924 0.1924 0.6841  6 Mn 2.35-2.50
Si: 0.4788 0.4788 0.8109  4 Mn 2.38-2.44, 1 Si 2.54
Si: 0.5212 0.5212 0.1891  4 Mn 2.38-2.44, 1 Si 2.54
Si: 0.8076 0.8076 0.3159  6 Mn 2.35-2.50

***

Record 2
Compound: Nd2MnSi
Source: the Alexandria database
Functional: GGA-PBE
Structure: optimized geometry

Results
SG = No. 166

a = 10.4387 Å, b = 10.4387 Å, c = 10.4387 Å
α = 19.97°, β = 19.97°, γ = 19.97°
Closest atoms and distances in Å follow each position.
Fractional coordinates of all 4 atoms:
Nd: 0.1006 0.1006 0.1006  3 Si 2.91, 1 Mn 3.09
Nd: 0.8994 0.8994 0.8994  3 Si 2.91, 1 Mn 3.09
Mn: 0.0000 0.0000 0.0000  2 Nd 3.09
Si: 0.5000 0.5000 0.5000  6 Nd 2.91

***

Record 3
Compound: NdMnSi2
Source: the Alexandria database
Functional: GGA-PBE
Structure: optimized geometry

Results
SG = No. 166

a = 5.6685 Å, b = 5.6685 Å, c = 5.6685 Å
α = 41.21°, β = 41.21°, γ = 41.21°
Closest atoms and distances in Å follow each position.
Fractional coordinates of all 4 atoms:
Nd: 0.0000 0.0000 0.0000  8 Si 3.05-3.18
Mn: 0.5000 0.5000 0.5000  6 Si 2.38
Si: 0.2045 0.2045 0.2045  3 Mn 2.38, 3 Si 2.59
Si: 0.7955 0.7955 0.7955  3 Mn 2.38, 3 Si 2.59

***

Record 4
Compound: NdMn2Si2
Source: the Alexandria database
Functional: GGA-PBE
Structure: optimized geometry

Results
SG = No. 139

a = 5.9563 Å, b = 5.9563 Å, c = 5.9563 Å
α = 141.13°, β = 141.13°, γ = 56.14°
Closest atoms and distances in Å follow each position.
Fractional coordinates of all 5 atoms:
Nd: 0.0000 0.0000 0.0000  8 Si 3.09, 8 Mn 3.29
Mn: 0.2500 0.7500 0.5000  4 Si 2.38
Mn: 0.7500 0.2500 0.5000  4 Si 2.38
Si: 0.3755 0.3755 0.0000  4 Mn 2.38, 1 Si 2.62
Si: 0.6245 0.6245 0.0000  4 Mn 2.38, 1 Si 2.62

***

The records above yield E_tot values of -91.34; -22.32; -26.81; -36.78 eV for the cell shown, respectively.